[1]
This record from Alexandria describes an optimized crystal structure of CaZn3Re. The functional is PBE-GGA.

Computed properties:
- total DFT energy (no corrections) (eV/cell) = -8.8
- ΔE_f (kJ/mol of formula units) = 911
- crystal system = cubic
- calculated volume (A^3/atom) = 29.10
- DOS at the Fermi energy (states/eV/f.u.) = 4.7

a = 5.260 Å, b = 5.260 Å, c = 5.260 Å
α = 90.00°, β = 90.00°, γ = 90.00°
Each line ends with the local moment (μB).
Fractional positions:
Re  0.500  0.500  0.500  3.52
Zn  0.000  0.500  0.000  -0.05
Zn  0.000  0.000  0.500  -0.02
Zn  0.500  0.000  0.000  -0.03
Ca  0.000  0.000  0.000  -0.10

=====

[2]
This record from Alexandria describes an optimized crystal structure of CaZn2Re. The functional is PBE-GGA.

Computed properties:
- total DFT energy (no corrections) (eV/cell) = -15.1
- ΔE_f (kJ/mol of formula units) = 182
- crystal system = tetragonal
- calculated volume (A^3/atom) = 17.55
- DOS at the Fermi energy (states/eV/f.u.) = 1.6

a = 5.288 Å, b = 5.288 Å, c = 5.288 Å
α = 136.07°, β = 136.07°, γ = 63.86°
Fractional positions:
Re  0.750  0.250  0.500
Zn  0.000  0.000  0.000
Zn  0.250  0.750  0.500
Ca  0.500  0.500  0.000

=====

[3]
This record from Alexandria describes an optimized crystal structure of CaZn4Re. The functional is PBE-GGA.

Computed properties:
- total DFT energy (no corrections) (eV/cell) = -18.5
- ΔE_f (kJ/mol of formula units) = 102
- crystal system = cubic
- calculated volume (A^3/atom) = 16.24
- DOS at the Fermi energy (states/eV/f.u.) = 4.9

a = 5.165 Å, b = 5.165 Å, c = 5.165 Å
α = 60.00°, β = 60.00°, γ = 60.00°
Each line ends with the local moment (μB).
Fractional positions:
Ca  0.750  0.750  0.750  0.09
Zn  0.880  0.373  0.373  0.02
Zn  0.373  0.373  0.880  0.02
Zn  0.373  0.880  0.373  0.02
Zn  0.373  0.373  0.373  0.02
Re  0.000  0.000  0.000  1.30

=====

[4]
This record from Alexandria describes an optimized crystal structure of CaZnRe. The functional is PBE-GGA.

Computed properties:
- total DFT energy (no corrections) (eV/cell) = -10.8
- ΔE_f (kJ/mol of formula units) = 474
- crystal system = cubic
- calculated volume (A^3/atom) = 24.86
- DOS at the Fermi energy (states/eV/f.u.) = 1.8

a = 4.725 Å, b = 4.725 Å, c = 4.725 Å
α = 60.00°, β = 60.00°, γ = 60.00°
Each line ends with the local moment (μB).
Fractional positions:
Re  0.000  0.000  0.000  2.47
Zn  0.500  0.500  0.500  -0.03
Ca  0.750  0.750  0.750  0.09

=====

[5]
This record from Alexandria describes an optimized crystal structure of CaZnRe. The functional is PBE-GGA.

Computed properties:
- total DFT energy (no corrections) (eV/cell) = -14.1
- ΔE_f (kJ/mol of formula units) = 152
- crystal system = trigonal
- calculated volume (A^3/atom) = 18.34
- DOS at the Fermi energy (states/eV/f.u.) = 2.8

a = 4.846 Å, b = 4.846 Å, c = 2.705 Å
α = 90.00°, β = 90.00°, γ = 120.00°
Fractional positions:
Re  0.667  0.333  0.498
Zn  0.333  0.667  0.503
Ca  0.000  0.000  0.999

=====

[6]
This record from Alexandria describes an optimized crystal structure of CaZn2Re. The functional is PBE-GGA.

Computed properties:
- total DFT energy (no corrections) (eV/cell) = -15.9
- ΔE_f (kJ/mol of formula units) = 110
- crystal system = monoclinic
- calculated volume (A^3/atom) = 18.07
- DOS at the Fermi energy (states/eV/f.u.) = 2.4

a = 4.812 Å, b = 4.812 Å, c = 5.779 Å
α = 84.69°, β = 84.69°, γ = 32.88°
Fractional positions:
Re  0.250  0.250  0.250
Zn  0.991  0.991  0.057
Zn  0.509  0.509  0.443
Ca  0.750  0.750  0.750

=====

[7]
This record from Alexandria describes an optimized crystal structure of CaZn2Re. The functional is PBE-GGA.

Computed properties:
- total DFT energy (no corrections) (eV/cell) = -28.5
- ΔE_f (kJ/mol of formula units) = 264
- crystal system = tetragonal
- calculated volume (A^3/atom) = 22.29
- DOS at the Fermi energy (states/eV/f.u.) = 4.2

a = 4.469 Å, b = 4.469 Å, c = 9.472 Å
α = 76.36°, β = 76.36°, γ = 90.00°
Fractional positions:
Re  0.000  0.000  0.000
Re  0.750  0.250  0.500
Zn  0.755  0.125  0.250
Zn  0.995  0.625  0.250
Zn  0.375  0.245  0.750
Zn  0.875  0.005  0.750
Ca  0.500  0.500  0.000
Ca  0.250  0.750  0.500

=====

[8]
This record from Alexandria describes an optimized crystal structure of CaZnRe. The functional is PBE-GGA.

Computed properties:
- total DFT energy (no corrections) (eV/cell) = -14.4
- ΔE_f (kJ/mol of formula units) = 132
- crystal system = tetragonal
- calculated volume (A^3/atom) = 17.93
- DOS at the Fermi energy (states/eV/f.u.) = 2.1

a = 7.190 Å, b = 7.190 Å, c = 7.190 Å
α = 157.63°, β = 157.63°, γ = 31.85°
Fractional positions:
Re  0.322  0.322  0.000
Zn  0.678  0.678  0.000
Ca  0.000  0.000  0.000

=====

[9]
This record from Alexandria describes an optimized crystal structure of CaZnRe. The functional is PBE-GGA.

Computed properties:
- total DFT energy (no corrections) (eV/cell) = -14.4
- ΔE_f (kJ/mol of formula units) = 132
- crystal system = orthorhombic
- calculated volume (A^3/atom) = 19.36
- DOS at the Fermi energy (states/eV/f.u.) = 2.4

a = 5.724 Å, b = 5.724 Å, c = 5.724 Å
α = 151.14°, β = 139.86°, γ = 50.19°
Fractional positions:
Re  0.701  0.701  0.000
Zn  0.296  0.296  0.000
Ca  0.003  0.003  0.000

=====

[10]
This record from Alexandria describes an optimized crystal structure of CaZnRe4. The functional is PBE-GGA.

Computed properties:
- total DFT energy (no corrections) (eV/cell) = -50.7
- ΔE_f (kJ/mol of formula units) = 228
- crystal system = cubic
- calculated volume (A^3/atom) = 17.57
- DOS at the Fermi energy (states/eV/f.u.) = 4.5

a = 5.303 Å, b = 5.303 Å, c = 5.303 Å
α = 60.00°, β = 60.00°, γ = 60.00°
Fractional positions:
Ca  0.000  0.000  0.000
Zn  0.750  0.750  0.750
Re  0.873  0.376  0.376
Re  0.376  0.376  0.873
Re  0.376  0.873  0.376
Re  0.376  0.376  0.376

=====

[11]
This record from Alexandria describes an optimized crystal structure of CaZn2Re. The functional is PBE-GGA.

Computed properties:
- total DFT energy (no corrections) (eV/cell) = -15.4
- ΔE_f (kJ/mol of formula units) = 151
- crystal system = tetragonal
- calculated volume (A^3/atom) = 16.87
- DOS at the Fermi energy (states/eV/f.u.) = 3.9

a = 2.868 Å, b = 4.851 Å, c = 4.851 Å
α = 90.00°, β = 90.00°, γ = 90.00°
Fractional positions:
Re  0.500  0.000  0.500
Zn  0.000  0.000  0.000
Zn  0.000  0.500  0.500
Ca  0.500  0.500  0.000

=====

[12]
This record from Alexandria describes an optimized crystal structure of CaZn2Re. The functional is PBE-GGA.

Computed properties:
- total DFT energy (no corrections) (eV/cell) = -15.6
- ΔE_f (kJ/mol of formula units) = 137
- crystal system = orthorhombic
- calculated volume (A^3/atom) = 16.82
- DOS at the Fermi energy (states/eV/f.u.) = 3.3

a = 4.964 Å, b = 4.964 Å, c = 2.834 Å
α = 89.99°, β = 89.99°, γ = 105.48°
Fractional positions:
Re  0.000  0.500  0.500
Zn  0.000  0.000  0.000
Zn  0.500  0.500  0.000
Ca  0.500  0.000  0.500

=====

[13]
This record from Alexandria describes an optimized crystal structure of CaZn2Re. The functional is PBE-GGA.

Computed properties:
- total DFT energy (no corrections) (eV/cell) = -15.2
- ΔE_f (kJ/mol of formula units) = 177
- crystal system = trigonal
- calculated volume (A^3/atom) = 17.54
- DOS at the Fermi energy (states/eV/f.u.) = 2.9

a = 9.706 Å, b = 9.706 Å, c = 9.706 Å
α = 17.25°, β = 17.25°, γ = 17.25°
Fractional positions:
Re  0.750  0.750  0.750
Zn  0.008  0.008  0.008
Zn  0.492  0.492  0.492
Ca  0.250  0.250  0.250

=====

[14]
This record from Alexandria describes an optimized crystal structure of CaZrRe2. The functional is PBE-GGA.

Computed properties:
- total DFT energy (no corrections) (eV/cell) = -34.0
- ΔE_f (kJ/mol of formula units) = 143
- crystal system = monoclinic
- calculated volume (A^3/atom) = 21.94
- DOS at the Fermi energy (states/eV/f.u.) = 2.9

a = 4.023 Å, b = 3.041 Å, c = 7.512 Å
α = 72.69°, β = 90.00°, γ = 90.00°
Fractional positions:
Re  0.000  0.997  0.074
Re  0.500  0.236  0.213
Ca  0.500  0.762  0.788
Zr  0.000  0.505  0.425

=====

[15]
This record from Alexandria describes an optimized crystal structure of CaZr2Re. The functional is PBE-GGA.

Computed properties:
- total DFT energy (no corrections) (eV/cell) = -30.4
- ΔE_f (kJ/mol of formula units) = 111
- crystal system = monoclinic
- calculated volume (A^3/atom) = 24.66
- DOS at the Fermi energy (states/eV/f.u.) = 3.4

a = 4.494 Å, b = 4.494 Å, c = 7.204 Å
α = 85.43°, β = 85.43°, γ = 42.88°
Fractional positions:
Re  0.250  0.250  0.250
Ca  0.750  0.750  0.750
Zr  0.979  0.979  0.070
Zr  0.521  0.521  0.430